Entry one
Below is RbSeI2 after structural relaxation, with properties calculated at the PBE-GGA level.

abc: 6.6694 6.6694 6.6694
angles: 50.30 50.30 50.30
Atoms (fractional coordinates):
Rb: 0.0000 0.0000 0.0000
Se: 0.5000 0.5000 0.5000
I: 0.2094 0.2094 0.2094
I: 0.7906 0.7906 0.7906

Results
As for the total magnetization: 0.00 μB/cell. The density comes out at 4294 kg/m³.

***

Entry two
Below is RbSeI2 after structural relaxation, with properties calculated at the PBE-GGA level.

abc: 10.3795 10.3795 10.3795
angles: 141.88 141.88 55.00
Atoms (fractional coordinates):
Rb: 0.0000 0.0000 0.0000
Rb: 0.7500 0.2500 0.5000
Se: 0.2500 0.7500 0.5000
Se: 0.5000 0.5000 0.0000
I: 0.2407 0.6250 0.1157
I: 0.3750 0.4907 0.6157
I: 0.5093 0.1250 0.8843
I: 0.8750 0.7593 0.3843

Results
As for the total magnetization: 0.00 μB/cell. The density comes out at 3284 kg/m³.

***

Least stable: entry one

***

Entry one
Below is RbSe3I after structural relaxation, with properties calculated at the PBE-GGA level.

abc: 5.5458 5.5458 5.5458
angles: 90.00 90.00 90.00
Atoms (fractional coordinates):
Rb: 0.0000 0.0000 0.0000
Se: 0.0000 0.5000 0.5000
Se: 0.5000 0.0000 0.5000
Se: 0.5000 0.5000 0.0000
I: 0.5000 0.5000 0.5000

Results
As for the total magnetization: 0.00 μB/cell. The density comes out at 4374 kg/m³.

***

Entry two
Below is RbSe3I after structural relaxation, with properties calculated at the PBE-GGA level.

abc: 6.6197 6.6197 6.6197
angles: 90.00 90.00 90.00
Atoms (fractional coordinates):
Rb: 0.0000 0.0000 0.0000
Se: 0.0000 0.0000 0.5000
Se: 0.0000 0.5000 0.0000
Se: 0.5000 0.0000 0.0000
I: 0.5000 0.5000 0.5000

Results
As for the total magnetization: 6.00 μB/cell. The density comes out at 2572 kg/m³.

***

Least stable: entry two

***

Entry one
Below is Rb3SeI after structural relaxation, with properties calculated at the PBE-GGA level.

abc: 9.1166 5.2040 20.0834
angles: 90.00 90.00 90.00
Atoms (fractional coordinates):
Rb: 0.0149 0.2500 0.0868
Rb: 0.1288 0.7500 0.4540
Rb: 0.1487 0.2500 0.7020
Rb: 0.3513 0.7500 0.2020
Rb: 0.3712 0.2500 0.9540
Rb: 0.4851 0.7500 0.5868
Rb: 0.5149 0.2500 0.4132
Rb: 0.6288 0.7500 0.0460
Rb: 0.6487 0.2500 0.7980
Rb: 0.8513 0.7500 0.2980
Rb: 0.8712 0.2500 0.5460
Rb: 0.9851 0.7500 0.9132
Se: 0.2379 0.7500 0.0455
Se: 0.2621 0.2500 0.5455
Se: 0.7379 0.7500 0.4545
Se: 0.7621 0.2500 0.9545
I: 0.1555 0.2500 0.2998
I: 0.3445 0.7500 0.7998
I: 0.6555 0.2500 0.2002
I: 0.8445 0.7500 0.7002

Results
As for the total magnetization: 0.13 μB/cell. The density comes out at 3223 kg/m³.

***

Entry two
Below is Rb3SeI after structural relaxation, with properties calculated at the PBE-GGA level.

abc: 6.5404 6.5404 6.5404
angles: 90.00 90.00 90.00
Atoms (fractional coordinates):
Rb: 0.0000 0.0000 0.5000
Rb: 0.0000 0.5000 0.0000
Rb: 0.5000 0.0000 0.0000
Se: 0.0000 0.0000 0.0000
I: 0.5000 0.5000 0.5000

Results
As for the total magnetization: 0.00 μB/cell. The density comes out at 2744 kg/m³.

***

Least stable: entry two

***

Entry one
Below is Rb4SeI2 after structural relaxation, with properties calculated at the PBE-GGA level.

abc: 10.5796 10.5796 10.5796
angles: 144.39 144.39 51.24
Atoms (fractional coordinates):
Rb: 0.0000 0.5000 0.5000
Rb: 0.1703 0.1703 0.0000
Rb: 0.5000 0.0000 0.5000
Rb: 0.8297 0.8297 0.0000
Se: 0.0000 0.0000 0.0000
I: 0.3601 0.3601 0.0000
I: 0.6399 0.6399 0.0000

Results
As for the total magnetization: 0.00 μB/cell. The density comes out at 2806 kg/m³.

***

Entry two
Below is Rb4SeI2 after structural relaxation, with properties calculated at the PBE-GGA level.

abc: 9.2436 9.2436 5.2673
angles: 90.00 90.00 109.43
Atoms (fractional coordinates):
Rb: 0.1914 0.1914 0.5000
Rb: 0.2181 0.7819 0.0000
Rb: 0.7819 0.2181 0.0000
Rb: 0.8086 0.8086 0.5000
Se: 0.0000 0.0000 0.0000
I: 0.0000 0.5000 0.5000
I: 0.5000 0.0000 0.5000

Results
As for the total magnetization: 0.09 μB/cell. The density comes out at 2639 kg/m³.

***

Least stable: entry one

***

Entry one
Below is RbTeSeI2 after structural relaxation, with properties calculated at the PBE-GGA level.

abc: 5.9794 5.9794 5.6385
angles: 90.00 90.00 90.00
Atoms (fractional coordinates):
Rb: 0.0000 0.0000 0.0000
Te: 0.5000 0.5000 0.0000
Se: 0.5000 0.5000 0.5000
I: 0.0000 0.5000 0.5000
I: 0.5000 0.0000 0.5000

Results
As for the total magnetization: 0.00 μB/cell. The density comes out at 4496 kg/m³.

***

Entry two
Below is RbTeSeI2 after structural relaxation, with properties calculated at the PBE-GGA level.

abc: 6.1923 6.1923 5.5033
angles: 90.00 90.00 90.00
Atoms (fractional coordinates):
Rb: 0.0000 0.0000 0.0000
Te: 0.5000 0.5000 0.5000
Se: 0.5000 0.5000 0.0000
I: 0.0000 0.5000 0.5000
I: 0.5000 0.0000 0.5000

Results
As for the total magnetization: 0.00 μB/cell. The density comes out at 4295 kg/m³.

***

Least stable: entry one

***

Entry one
Below is Rb2SiI after structural relaxation, with properties calculated at the PBE-GGA level.

abc: 8.5579 8.5579 8.5579
angles: 112.89 112.89 102.83
Atoms (fractional coordinates):
Rb: 0.1239 0.6250 0.9989
Rb: 0.3750 0.3739 0.4989
Rb: 0.6261 0.1250 0.0011
Rb: 0.8750 0.8761 0.5011
Si: 0.0000 0.0000 0.0000
Si: 0.7500 0.2500 0.5000
I: 0.2500 0.7500 0.5000
I: 0.5000 0.5000 0.0000

Results
As for the total magnetization: 6.00 μB/cell. The density comes out at 2266 kg/m³.

***

Entry two
Below is Rb2SiI after structural relaxation, with properties calculated at the PBE-GGA level.

abc: 6.3051 6.3051 6.3051
angles: 60.00 60.00 60.00
Atoms (fractional coordinates):
Rb: 0.2500 0.2500 0.2500
Rb: 0.7500 0.7500 0.7500
Si: 0.0000 0.0000 0.0000
I: 0.5000 0.5000 0.5000

Results
As for the total magnetization: 3.00 μB/cell. The density comes out at 3054 kg/m³.

***

Least stable: entry one

***

Entry one
Below is RbSmI3 after structural relaxation, with properties calculated at the PBE-GGA level.

abc: 8.6492 8.6492 11.9815
angles: 90.00 90.00 151.88
Atoms (fractional coordinates):
Rb: 0.2419 0.7581 0.7500
Rb: 0.7581 0.2419 0.2500
Sm: 0.5000 0.5000 0.0000
Sm: 0.5000 0.5000 0.5000
I: 0.1375 0.8625 0.0529
I: 0.1375 0.8625 0.4471
I: 0.4429 0.5571 0.2500
I: 0.5571 0.4429 0.7500
I: 0.8625 0.1375 0.5529
I: 0.8625 0.1375 0.9471

Results
As for the total magnetization: 0.00 μB/cell. The density comes out at 4847 kg/m³.

***

Entry two
Below is RbSmI3 after structural relaxation, with properties calculated at the PBE-GGA level.

abc: 6.1738 6.1738 6.1738
angles: 90.00 90.00 90.00
Atoms (fractional coordinates):
Rb: 0.0000 0.0000 0.0000
Sm: 0.5000 0.5000 0.5000
I: 0.0000 0.5000 0.5000
I: 0.5000 0.0000 0.5000
I: 0.5000 0.5000 0.0000

Results
As for the total magnetization: 0.01 μB/cell. The density comes out at 4351 kg/m³.

***

Entry three
Below is RbSmI3 after structural relaxation, with properties calculated at the PBE-GGA level.

abc: 8.7360 8.7360 6.9330
angles: 90.00 90.00 120.00
Atoms (fractional coordinates):
Rb: 0.3333 0.6667 0.2500
Rb: 0.6667 0.3333 0.7500
Sm: 0.0000 0.0000 0.0000
Sm: 0.0000 0.0000 0.5000
I: 0.1750 0.3501 0.7500
I: 0.1750 0.8250 0.7500
I: 0.3501 0.1750 0.2500
I: 0.6499 0.8250 0.7500
I: 0.8250 0.1750 0.2500
I: 0.8250 0.6499 0.2500

Results
As for the total magnetization: 0.37 μB/cell. The density comes out at 4468 kg/m³.

***

Least stable: entry two

***

Entry one
Below is RbSmI4 after structural relaxation, with properties calculated at the PBE-GGA level.

abc: 10.7167 10.7167 8.0252
angles: 98.93 98.93 118.93
Atoms (fractional coordinates):
Rb: 0.2314 0.7686 0.7500
Rb: 0.7686 0.2314 0.2500
Sm: 0.0661 0.9339 0.2500
Sm: 0.9339 0.0661 0.7500
I: 0.0060 0.3652 0.6997
I: 0.1070 0.2221 0.1450
I: 0.2221 0.1070 0.6450
I: 0.3652 0.0060 0.1997
I: 0.6348 0.9940 0.8003
I: 0.7779 0.8930 0.3550
I: 0.8930 0.7779 0.8550
I: 0.9940 0.6348 0.3003

Results
As for the total magnetization: 0.00 μB/cell. The density comes out at 3214 kg/m³.

***

Entry two
Below is RbSmI4 after structural relaxation, with properties calculated at the PBE-GGA level.

abc: 9.4255 9.4255 7.6323
angles: 106.43 106.43 110.98
Atoms (fractional coordinates):
Rb: 0.1351 0.8649 0.7500
Rb: 0.8649 0.1351 0.2500
Sm: 0.5002 0.4998 0.2500
Sm: 0.4998 0.5002 0.7500
I: 0.1693 0.2973 0.8133
I: 0.2367 0.5531 0.4266
I: 0.2973 0.1693 0.3133
I: 0.4469 0.7633 0.0734
I: 0.5531 0.2367 0.9266
I: 0.7027 0.8307 0.6867
I: 0.7633 0.4469 0.5734
I: 0.8307 0.7027 0.1867

Results
As for the total magnetization: 0.00 μB/cell. The density comes out at 4501 kg/m³.

***

Least stable: entry two

***

Entry one
Below is Rb3SnI6 after structural relaxation, with properties calculated at the PBE-GGA level.

abc: 8.6955 9.3635 14.9292
angles: 90.00 123.71 90.00
Atoms (fractional coordinates):
Rb: 0.0000 0.0000 0.0000
Rb: 0.0000 0.5000 0.5000
Rb: 0.2093 0.0805 0.7423
Rb: 0.2093 0.4195 0.2423
Rb: 0.7907 0.5805 0.7577
Rb: 0.7907 0.9195 0.2577
Sn: 0.5000 0.0000 0.5000
Sn: 0.5000 0.5000 0.0000
I: 0.1638 0.1743 0.4479
I: 0.1638 0.3257 0.9479
I: 0.2616 0.7280 0.4236
I: 0.2616 0.7720 0.9236
I: 0.4049 0.0564 0.2736
I: 0.4049 0.4436 0.7736
I: 0.5951 0.5564 0.2264
I: 0.5951 0.9436 0.7264
I: 0.7384 0.2280 0.0764
I: 0.7384 0.2720 0.5764
I: 0.8362 0.6743 0.0521
I: 0.8362 0.8257 0.5521

Results
As for the total magnetization: 0.00 μB/cell. The density comes out at 3733 kg/m³.

***

Entry two
Below is Rb3SnI6 after structural relaxation, with properties calculated at the PBE-GGA level.

abc: 9.1577 9.1577 9.1577
angles: 60.00 60.00 60.00
Atoms (fractional coordinates):
Rb: 0.0000 0.0000 0.0000
Rb: 0.2500 0.2500 0.2500
Rb: 0.7500 0.7500 0.7500
Sn: 0.5000 0.5000 0.5000
I: 0.2675 0.2675 0.7325
I: 0.2675 0.7325 0.2675
I: 0.2675 0.7325 0.7325
I: 0.7325 0.2675 0.2675
I: 0.7325 0.2675 0.7325
I: 0.7325 0.7325 0.2675

Results
As for the total magnetization: 0.00 μB/cell. The density comes out at 3475 kg/m³.

***

Least stable: entry two

***

Entry one
Below is Rb2SnI5 after structural relaxation, with properties calculated at the PBE-GGA level.

abc: 9.0637 9.0637 7.1672
angles: 112.46 112.46 102.12
Atoms (fractional coordinates):
Rb: 0.2427 0.7573 0.0000
Rb: 0.7573 0.2427 0.0000
Sn: 0.4275 0.4275 0.4232
I: 0.1114 0.1114 0.2232
I: 0.1957 0.6400 0.4221
I: 0.4190 0.4190 0.0122
I: 0.6400 0.1957 0.4221
I: 0.7424 0.7424 0.8321

Results
As for the total magnetization: 0.00 μB/cell. The density comes out at 3357 kg/m³.

***

Entry two
Below is Rb2SnI5 after structural relaxation, with properties calculated at the PBE-GGA level.

abc: 8.1970 8.1970 8.1970
angles: 114.49 114.49 99.84
Atoms (fractional coordinates):
Rb: 0.0000 0.5000 0.5000
Rb: 0.5000 0.0000 0.5000
Sn: 0.2764 0.2764 0.0000
I: 0.0009 0.0009 0.5239
I: 0.0009 0.4771 0.0000
I: 0.4771 0.0009 0.0000
I: 0.4771 0.4771 0.4761
I: 0.5418 0.5418 0.0000

Results
As for the total magnetization: 0.00 μB/cell. The density comes out at 3696 kg/m³.

***

Least stable: entry two

***

Entry one
Below is RbSn3I after structural relaxation, with properties calculated at the PBE-GGA level.

abc: 6.0388 6.0388 6.0388
angles: 90.00 90.00 90.00
Atoms (fractional coordinates):
Rb: 0.0000 0.0000 0.0000
Sn: 0.0000 0.5000 0.5000
Sn: 0.5000 0.0000 0.5000
Sn: 0.5000 0.5000 0.0000
I: 0.5000 0.5000 0.5000

Results
As for the total magnetization: 0.00 μB/cell. The density comes out at 4287 kg/m³.

***

Entry two
Below is RbSn3I after structural relaxation, with properties calculated at the PBE-GGA level.

abc: 6.3890 6.3890 6.3890
angles: 90.00 90.00 90.00
Atoms (fractional coordinates):
Rb: 0.0000 0.0000 0.0000
Sn: 0.0000 0.0000 0.5000
Sn: 0.0000 0.5000 0.0000
Sn: 0.5000 0.0000 0.0000
I: 0.5000 0.5000 0.5000

Results
As for the total magnetization: 2.77 μB/cell. The density comes out at 3620 kg/m³.

***

Least stable: entry two

***

Entry one
Below is Rb2SnI after structural relaxation, with properties calculated at the PBE-GGA level.

abc: 6.4871 6.4871 6.4871
angles: 60.00 60.00 60.00
Atoms (fractional coordinates):
Rb: 0.2500 0.2500 0.2500
Rb: 0.7500 0.7500 0.7500
Sn: 0.0000 0.0000 0.0000
I: 0.5000 0.5000 0.5000

Results
As for the total magnetization: 3.00 μB/cell. The density comes out at 3583 kg/m³.

***

Entry two
Below is Rb2SnI after structural relaxation, with properties calculated at the PBE-GGA level.

abc: 8.0983 8.0983 8.0983
angles: 103.01 103.01 123.35
Atoms (fractional coordinates):
Rb: 0.1062 0.6250 0.9812
Rb: 0.3750 0.3562 0.4812
Rb: 0.6438 0.1250 0.0188
Rb: 0.8750 0.8938 0.5188
Sn: 0.2500 0.7500 0.5000
Sn: 0.5000 0.5000 0.0000
I: 0.0000 0.0000 0.0000
I: 0.7500 0.2500 0.5000

Results
As for the total magnetization: 1.90 μB/cell. The density comes out at 3542 kg/m³.

***

Least stable: entry two